# CsV2CrI, optimized geometry, DFT GGA-PBE
# Energy relative to the elements, uncorrected, eV/atom: 1.01
# ρ, Mg/m³: 4.72
data_CsV2CrI
_chemical_formula_sum 'Cs1 V2 Cr1 I1'
_cell_length_a 4.908
_cell_length_b 6.045
_cell_length_c 4.908
_cell_angle_alpha 90.00
_cell_angle_beta 90.00
_cell_angle_gamma 90.00
_space_group_name_H-M_alt 'P 1'
_space_group_IT_number 1
loop_
_space_group_symop_operation_xyz
'x,y,z'
loop_
_atom_site_label
_atom_site_type_symbol
_atom_site_fract_x
_atom_site_fract_y
_atom_site_fract_z
_atom_site_occupancy
V1 V 0.000 0.000 0.500 1
V2 V 0.500 0.000 0.000 1
Cs1 Cs 0.500 0.500 0.500 1
Cr1 Cr 0.000 0.000 0.000 1
I1 I 0.000 0.500 0.000 1

=====

# Cs2YCrI6, optimized geometry, DFT GGA-PBE
# Energy relative to the elements, uncorrected, eV/atom: -1.13
# ρ, Mg/m³: 4.40
data_Cs2YCrI6
_chemical_formula_sum 'Cs2 Y1 Cr1 I6'
_cell_length_a 8.544
_cell_length_b 8.544
_cell_length_c 8.545
_cell_angle_alpha 60.00
_cell_angle_beta 60.00
_cell_angle_gamma 90.00
_space_group_name_H-M_alt 'P 1'
_space_group_IT_number 1
loop_
_space_group_symop_operation_xyz
'x,y,z'
loop_
_atom_site_label
_atom_site_type_symbol
_atom_site_fract_x
_atom_site_fract_y
_atom_site_fract_z
_atom_site_occupancy
I1 I 0.252 0.252 0.496 1
I2 I 0.748 0.748 0.000 1
I3 I 0.252 0.748 0.000 1
I4 I 0.252 0.252 0.000 1
I5 I 0.748 0.252 0.000 1
I6 I 0.748 0.748 0.504 1
Cs1 Cs 0.250 0.750 0.500 1
Cs2 Cs 0.750 0.250 0.500 1
Cr1 Cr 0.500 0.500 0.000 1
Y1 Y 0.000 0.000 0.000 1

=====

# CsZn2CrI8, optimized geometry, DFT GGA-PBE
# Energy relative to the elements, uncorrected, eV/atom: -0.64
# ρ, Mg/m³: 4.24
data_CsZn2CrI8
_chemical_formula_sum 'Cs1 Zn2 Cr1 I8'
_cell_length_a 7.134
_cell_length_b 7.134
_cell_length_c 12.522
_cell_angle_alpha 73.45
_cell_angle_beta 73.45
_cell_angle_gamma 60.00
_space_group_name_H-M_alt 'P 1'
_space_group_IT_number 1
loop_
_space_group_symop_operation_xyz
'x,y,z'
loop_
_atom_site_label
_atom_site_type_symbol
_atom_site_fract_x
_atom_site_fract_y
_atom_site_fract_z
_atom_site_occupancy
Zn1 Zn 0.266 0.266 0.203 1
Zn2 Zn 0.734 0.734 0.797 1
I1 I 0.652 0.276 0.137 1
I2 I 0.065 0.348 0.863 1
I3 I 0.807 0.807 0.579 1
I4 I 0.193 0.193 0.421 1
I5 I 0.935 0.652 0.137 1
I6 I 0.276 0.935 0.137 1
I7 I 0.724 0.065 0.863 1
I8 I 0.348 0.724 0.863 1
Cs1 Cs 0.500 0.500 0.500 1
Cr1 Cr 0.000 0.000 0.000 1

=====

# Cs3CrIn, optimized geometry, DFT GGA-PBE
# Distance to the lowest polymorph of the same formula, meV per atom: 0.0
# Formation enthalpy at 0 K, meV/atom: 738
# ρ, Mg/m³: 2.39
data_Cs3CrIn
_chemical_formula_sum 'Cs3 Cr1 In1'
_cell_length_a 7.327
_cell_length_b 7.327
_cell_length_c 7.327
_cell_angle_alpha 90.00
_cell_angle_beta 90.00
_cell_angle_gamma 90.00
_space_group_name_H-M_alt 'P 1'
_space_group_IT_number 1
loop_
_space_group_symop_operation_xyz
'x,y,z'
loop_
_atom_site_label
_atom_site_type_symbol
_atom_site_fract_x
_atom_site_fract_y
_atom_site_fract_z
_atom_site_occupancy
In1 In 0.000 0.000 0.000 1
Cr1 Cr 0.500 0.500 0.500 1
Cs1 Cs 0.000 0.000 0.500 1
Cs2 Cs 0.500 0.000 0.000 1
Cs3 Cs 0.000 0.500 0.000 1

=====

# CsCrIn3, optimized geometry, DFT GGA-PBE
# Formation enthalpy at 0 K, meV/atom: 1514
# ρ, Mg/m³: 3.32
data_CsCrIn3
_chemical_formula_sum 'Cs1 Cr1 In3'
_cell_length_a 6.424
_cell_length_b 6.424
_cell_length_c 6.424
_cell_angle_alpha 90.00
_cell_angle_beta 90.00
_cell_angle_gamma 90.00
_space_group_name_H-M_alt 'P 1'
_space_group_IT_number 1
loop_
_space_group_symop_operation_xyz
'x,y,z'
loop_
_atom_site_label
_atom_site_type_symbol
_atom_site_fract_x
_atom_site_fract_y
_atom_site_fract_z
_atom_site_occupancy
Cr1 Cr 0.500 0.500 0.500 1
In1 In 0.500 0.000 0.000 1
In2 In 0.000 0.000 0.500 1
In3 In 0.000 0.500 0.000 1
Cs1 Cs 0.000 0.000 0.000 1